[1]
DFT (PBE) results for an optimized crystal structure of TiOs2O.

Unit cell a=7.015 b=7.015 c=4.418 alpha=90.00 beta=90.00 gamma=90.00
Space group I-42d (No. 122)
One atom of each set of equivalent atoms:
Ti  0.000  0.000  0.000 x4
Os  0.162  0.250  0.625 x8
O  0.000  0.000  0.500 x4

formation energy without anion corrections = 0.069 eV per atom
magnetization = 0.000 μB/atom

---

[2]
DFT (PBE) results for an optimized crystal structure of TiOsO3.

Unit cell a=3.862 b=3.862 c=3.862 alpha=90.00 beta=90.00 gamma=90.00
Space group Pm-3m (No. 221)
One atom of each set of equivalent atoms:
Ti  0.000  0.000  0.000 x1
Os  0.500  0.500  0.500 x1
O  0.000  0.500  0.500 x3

formation energy without anion corrections = -0.604 eV per atom
magnetization = 0.000 μB/atom

---

[3]
DFT (PBE) results for an optimized crystal structure of Ti2OsO.

Unit cell a=2.714 b=2.714 c=6.771 alpha=90.00 beta=90.00 gamma=90.00
Space group P4/mmm (No. 123)
One atom of each set of equivalent atoms:
Ti  0.000  0.000  0.208 x2
Os  0.500  0.500  0.500 x1
O  0.500  0.500  0.000 x1

formation energy without anion corrections = -0.989 eV per atom
magnetization = 0.000 μB/atom

---

[4]
DFT (PBE) results for an optimized crystal structure of TiTlOs2O8.

Unit cell a=5.7120 b=5.7120 c=7.6681 alpha=90.00 beta=90.00 gamma=120.00
Space group P-3m1 (No. 164)
One atom of each set of equivalent atoms:
Ti  0.0000  0.0000  0.0000 x1
Tl  0.0000  0.0000  0.5000 x1
Os  0.3333  0.6667  0.2385 x2
O  0.1626  0.3252  0.1492 x6
O  0.3333  0.6667  0.4692 x2

formation energy without anion corrections = -1.255 eV per atom
magnetization = 0.124 μB/atom

---

[5]
DFT (PBE) results for an optimized crystal structure of TiTl2OsO6.

Unit cell a=7.661 b=7.662 c=6.916 alpha=90.00 beta=123.45 gamma=90.00
Space group C2/m (No. 12)
One atom of each set of equivalent atoms:
Ti  0.000  0.000  0.000 x2
Tl  0.000  0.250  0.500 x4
Os  0.000  0.500  0.000 x2
O  0.000  0.264  0.000 x4
O  0.161  0.000  0.324 x4
O  0.236  0.500  0.000 x4

formation energy without anion corrections = -1.325 eV per atom
magnetization = 0.000 μB/atom

---

[6]
DFT (PBE) results for an optimized crystal structure of TiZnOsO6.

Unit cell a=5.0701 b=5.0701 c=9.0505 alpha=90.00 beta=90.00 gamma=120.00
Space group P-31c (No. 163)
One atom of each set of equivalent atoms:
Ti  0.3333  0.6667  0.2500 x2
Zn  0.0000  0.0000  0.0000 x2
Os  0.3333  0.6667  0.7500 x2
O  0.0045  0.3535  0.6330 x12

formation energy without anion corrections = -1.642 eV per atom
magnetization = 0.224 μB/atom

---

- Which of these has the highest magnetization?
  TiZnOsO6

---

Repeat the sixth record exactly.
DFT (PBE) results for an optimized crystal structure of TiZnOsO6.

Unit cell a=5.0701 b=5.0701 c=9.0505 alpha=90.00 beta=90.00 gamma=120.00
Space group P-31c (No. 163)
One atom of each set of equivalent atoms:
Ti  0.3333  0.6667  0.2500 x2
Zn  0.0000  0.0000  0.0000 x2
Os  0.3333  0.6667  0.7500 x2
O  0.0045  0.3535  0.6330 x12

formation energy without anion corrections = -1.642 eV per atom
magnetization = 0.224 μB/atom